Record 1
Density functional theory data (PBE) for a relaxed structure of TaNi2P.

Geometry as POSCAR:
```
TaNi2P
1.0
3.586 0.000 0.000
0.000 3.586 0.000
0.000 0.000 8.048
Ta Ni P
2 4 2
direct
0.000 0.000 0.000
0.500 0.500 0.500
0.000 0.500 0.250
0.000 0.500 0.750
0.500 0.000 0.250
0.500 0.000 0.750
0.000 0.000 0.500
0.500 0.500 0.000
```

Properties
crystal system: tetragonal
formation enthalpy at 0 K: -0.272 eV/atom
E: -7.478 eV/atom

Record 2
Density functional theory data (PBE) for a relaxed structure of Zr3TiSe6.

Geometry as POSCAR:
```
Zr3TiSe6
1.0
5.368 -6.554 0.000
5.368 6.554 0.000
0.000 0.000 6.494
Zr Ti Se
6 2 12
direct
0.092 0.908 0.500
0.234 0.431 0.609
0.431 0.234 0.109
0.569 0.766 0.609
0.766 0.569 0.109
0.908 0.092 0.000
0.297 0.703 0.161
0.703 0.297 0.661
0.047 0.599 0.355
0.130 0.204 0.300
0.204 0.130 0.800
0.268 0.732 0.781
0.401 0.953 0.355
0.470 0.530 0.310
0.530 0.470 0.810
0.599 0.047 0.855
0.732 0.268 0.281
0.796 0.870 0.300
0.870 0.796 0.800
0.953 0.401 0.855
```

Properties
crystal system: orthorhombic
E: -6.571 eV/atom

Record 3
Density functional theory data (PBE) for a relaxed structure of FeNi6Mo.

Geometry as POSCAR:
```
FeNi6Mo
1.0
3.598 -5.082 0.000
3.598 5.082 0.000
0.000 0.000 10.150
Fe Ni Mo
4 24 4
direct
0.000 0.000 0.245
0.000 0.000 0.755
0.252 0.748 0.000
0.748 0.252 0.000
0.000 0.000 0.000
0.000 0.000 0.500
0.123 0.373 0.124
0.123 0.373 0.876
0.124 0.373 0.374
0.124 0.373 0.626
0.250 0.750 0.249
0.250 0.750 0.751
0.373 0.123 0.124
0.373 0.123 0.876
0.373 0.124 0.374
0.373 0.124 0.626
0.500 0.500 0.000
0.500 0.500 0.500
0.627 0.876 0.374
0.627 0.876 0.626
0.627 0.877 0.124
0.627 0.877 0.876
0.750 0.250 0.249
0.750 0.250 0.751
0.876 0.627 0.374
0.876 0.627 0.626
0.877 0.627 0.124
0.877 0.627 0.876
0.253 0.747 0.500
0.500 0.500 0.245
0.500 0.500 0.755
0.747 0.253 0.500
```

Properties
crystal system: orthorhombic
formation enthalpy at 0 K: -0.018 eV/atom
energy above the lowest structure with this stoichiometry: 10.9 meV per atom
E: -6.766 eV/atom

Record 4
Density functional theory data (PBE) for a relaxed structure of CaSiN2.

Geometry as POSCAR:
```
CaSiN2
1.0
2.720 -5.524 0.000
2.720 5.524 0.000
0.000 0.000 6.842
Ca Si N
4 4 8
direct
0.176 0.824 0.928
0.324 0.676 0.428
0.676 0.324 0.572
0.824 0.176 0.072
0.062 0.938 0.358
0.438 0.562 0.858
0.562 0.438 0.142
0.938 0.062 0.642
0.097 0.903 0.610
0.119 0.381 0.750
0.381 0.119 0.250
0.403 0.597 0.110
0.597 0.403 0.890
0.619 0.881 0.750
0.881 0.619 0.250
0.903 0.097 0.390
```

Properties
crystal system: orthorhombic
E: -7.200 eV/atom

Record 5
Density functional theory data (PBE) for a relaxed structure of Ga2CuSiNi.

Geometry as POSCAR:
```
Ga2CuSiNi
1.0
4.757 0.000 0.000
0.000 4.757 0.000
0.000 0.000 4.318
Ga Cu Si Ni
2 1 1 1
direct
0.000 0.500 0.000
0.500 0.000 0.000
0.000 0.000 0.500
0.000 0.000 0.000
0.500 0.500 0.500
```

Properties
crystal system: tetragonal
E: -3.511 eV/atom

Record 6
Density functional theory data (PBE) for a relaxed structure of Th3CoNi.

Geometry as POSCAR:
```
Th3CoNi
1.0
8.064 0.000 0.000
0.000 3.755 0.000
-2.787 0.000 7.729
Th Co Ni
6 2 2
direct
0.029 0.250 0.180
0.230 0.750 0.571
0.396 0.750 0.135
0.604 0.250 0.865
0.770 0.250 0.429
0.971 0.750 0.820
0.246 0.250 0.858
0.754 0.750 0.142
0.405 0.250 0.413
0.595 0.750 0.587
```

Properties
crystal system: monoclinic
formation enthalpy at 0 K: -0.268 eV/atom
energy above the lowest structure with this stoichiometry: 0.0 meV per atom
E: -7.297 eV/atom

Record 7
Density functional theory data (PBE) for a relaxed structure of BeIr2Rh.

Geometry as POSCAR:
```
BeIr2Rh
1.0
2.757 0.000 0.000
0.000 2.757 0.000
0.000 0.000 6.682
Be Ir Rh
1 2 1
direct
0.000 0.000 0.000
0.000 0.000 0.500
0.500 0.500 0.213
0.500 0.500 0.791
```

Properties
crystal system: tetragonal
formation enthalpy at 0 K: -0.251 eV/atom
E: -7.451 eV/atom

Record 8
Density functional theory data (PBE) for a relaxed structure of MnSb2Au.

Geometry as POSCAR:
```
MnSb2Au
1.0
4.020 0.000 0.000
0.000 4.017 0.000
-0.010 0.000 5.697
Mn Sb Au
1 2 1
direct
0.000 0.000 0.000
0.000 0.000 0.500
0.500 0.500 0.000
0.500 0.500 0.500
```

Properties
crystal system: monoclinic
energy above the lowest structure with this stoichiometry: 52.6 meV per atom
E: -5.091 eV/atom

Record 9
Density functional theory data (PBE) for a relaxed structure of Rb2RuBr6F.

Geometry as POSCAR:
```
Rb2RuBr6F
1.0
-3.740 3.740 5.489
3.740 -3.740 5.489
3.740 3.740 -5.489
Rb Ru Br F
2 1 6 1
direct
0.250 0.750 0.500
0.750 0.250 0.500
0.000 0.000 0.000
0.229 0.229 0.000
0.238 0.238 0.476
0.238 0.762 0.000
0.762 0.238 0.000
0.762 0.762 0.524
0.771 0.771 0.000
0.500 0.500 0.000
```

Properties
crystal system: tetragonal
E: -3.198 eV/atom

Record 10
Density functional theory data (PBE) for a relaxed structure of Ba3Zn11.

Geometry as POSCAR:
```
Ba3Zn11
1.0
-2.238 5.699 6.414
2.238 -5.699 6.414
2.238 5.699 -6.414
Ba Zn
3 11
direct
0.000 0.000 0.000
0.302 0.302 0.000
0.698 0.698 0.000
0.001 0.311 0.690
0.185 0.895 0.291
0.264 0.500 0.764
0.380 0.689 0.690
0.396 0.105 0.291
0.500 0.000 0.500
0.604 0.895 0.709
0.620 0.311 0.310
0.736 0.500 0.236
0.815 0.105 0.709
0.999 0.689 0.310
```

Properties
crystal system: orthorhombic
formation enthalpy at 0 K: -0.157 eV/atom
E: -1.570 eV/atom

Record 11
Density functional theory data (PBE) for a relaxed structure of Cs2Ag2AuI6.

Geometry as POSCAR:
```
Cs2Ag2AuI6
1.0
8.462 -4.058 0.000
8.462 4.058 0.000
-1.450 0.000 7.104
Cs Ag Au I
2 2 1 6
direct
0.205 0.205 0.211
0.795 0.795 0.789
0.463 0.463 0.784
0.537 0.537 0.216
0.000 0.000 0.500
0.169 0.693 0.241
0.300 0.300 0.748
0.307 0.831 0.759
0.693 0.169 0.241
0.700 0.700 0.252
0.831 0.307 0.759
```

Properties
crystal system: monoclinic
E: -2.467 eV/atom

Record 12
Density functional theory data (PBE) for a relaxed structure of CaCrIrC2.

Geometry as POSCAR:
```
CaCrIrC2
1.0
4.145 0.000 0.000
0.000 4.145 0.000
0.000 0.000 5.072
Ca Cr Ir C
1 1 1 2
direct
0.000 0.000 0.000
0.500 0.500 0.500
0.000 0.000 0.500
0.000 0.500 0.000
0.500 0.000 0.000
```

Properties
crystal system: tetragonal
formation enthalpy at 0 K: 3.398 eV/atom
E: -4.389 eV/atom

Record 13
Density functional theory data (PBE) for a relaxed structure of PmBCl2.

Geometry as POSCAR:
```
PmBCl2
1.0
3.590 0.000 0.000
-1.795 3.110 0.000
-0.054 -1.671 9.824
Pm B Cl
1 1 2
direct
0.000 0.000 0.000
0.547 0.107 0.578
0.388 0.770 0.193
0.609 0.223 0.795
```

Properties
crystal system: triclinic
E: -3.899 eV/atom

Record 14
Density functional theory data (PBE) for a relaxed structure of FeNiTe.

Geometry as POSCAR:
```
FeNiTe
1.0
3.935 0.000 0.000
-1.967 3.408 0.000
0.000 0.000 3.806
Fe Ni Te
1 1 1
direct
0.000 0.000 0.000
0.667 0.333 0.192
0.333 0.667 0.536
```

Properties
crystal system: trigonal
E: -5.489 eV/atom

Record 15
Density functional theory data (PBE) for a relaxed structure of Pr6DySc.

Geometry as POSCAR:
```
Pr6DySc
1.0
5.137 0.000 0.000
0.000 5.137 0.000
0.000 0.000 10.286
Pr Dy Sc
6 1 1
direct
0.000 0.000 0.000
0.000 0.000 0.500
0.000 0.500 0.245
0.000 0.500 0.755
0.500 0.000 0.245
0.500 0.000 0.755
0.500 0.500 0.500
0.500 0.500 0.000
```

Properties
crystal system: tetragonal
formation enthalpy at 0 K: 0.027 eV/atom
E: -4.924 eV/atom

Record 16
Density functional theory data (PBE) for a relaxed structure of Tl2ZnCrRu.

Geometry as POSCAR:
```
Tl2ZnCrRu
1.0
5.338 0.000 0.000
0.000 5.338 0.000
0.000 0.000 4.616
Tl Zn Cr Ru
2 1 1 1
direct
0.000 0.500 0.000
0.500 0.000 0.000
0.000 0.000 0.500
0.500 0.500 0.500
0.500 0.500 0.000
```

Properties
crystal system: tetragonal
formation enthalpy at 0 K: 0.669 eV/atom
E: -4.313 eV/atom

Record 17
Density functional theory data (PBE) for a relaxed structure of MnNi2P.

Geometry as POSCAR:
```
MnNi2P
1.0
4.843 0.000 0.000
0.000 8.424 0.000
-1.338 0.000 2.224
Mn Ni P
2 4 2
direct
0.000 0.000 0.000
0.500 0.500 0.000
0.250 0.250 0.500
0.250 0.750 0.500
0.750 0.250 0.500
0.750 0.750 0.500
0.000 0.500 0.000
0.500 0.000 0.000
```

Properties
crystal system: monoclinic
formation enthalpy at 0 K: -0.085 eV/atom
E: -6.621 eV/atom

Record 18
Density functional theory data (PBE) for a relaxed structure of PrCd6Au6.

Geometry as POSCAR:
```
PrCd6Au6
1.0
5.830 0.000 0.000
-2.915 5.049 0.000
0.000 0.000 9.467
Pr Cd Au
1 6 6
direct
0.000 0.000 0.000
0.000 0.500 0.253
0.000 0.500 0.747
0.500 0.000 0.253
0.500 0.000 0.747
0.500 0.500 0.253
0.500 0.500 0.747
0.000 0.000 0.327
0.000 0.000 0.673
0.333 0.667 0.000
0.333 0.667 0.500
0.667 0.333 0.000
0.667 0.333 0.500
```

Properties
crystal system: hexagonal
formation enthalpy at 0 K: -0.250 eV/atom
E: -2.552 eV/atom

Record 19
Density functional theory data (PBE) for a relaxed structure of Ca2GaAu.

Geometry as POSCAR:
```
Ca2GaAu
1.0
5.924 0.000 0.000
0.000 4.479 0.000
-2.893 0.000 7.943
Ca Ga Au
4 2 2
direct
0.208 0.250 0.423
0.275 0.750 0.068
0.725 0.250 0.932
0.792 0.750 0.577
0.360 0.750 0.715
0.640 0.250 0.285
0.157 0.250 0.784
0.843 0.750 0.216
```

Properties
crystal system: monoclinic
formation enthalpy at 0 K: -0.611 eV/atom
E: -3.188 eV/atom

Record 20
Density functional theory data (PBE) for a relaxed structure of Sr2Zn3Cd.

Geometry as POSCAR:
```
Sr2Zn3Cd
1.0
11.204 0.000 0.000
0.000 4.888 0.000
-5.550 0.000 5.604
Sr Zn Cd
4 6 2
direct
0.000 0.000 0.000
0.102 0.000 0.601
0.500 0.500 0.000
0.602 0.500 0.601
0.214 0.500 0.406
0.375 0.000 0.551
0.397 0.000 0.209
0.714 0.000 0.406
0.875 0.500 0.551
0.897 0.500 0.209
0.212 0.500 0.023
0.712 0.000 0.023
```

Properties
crystal system: monoclinic
formation enthalpy at 0 K: -0.254 eV/atom
energy above the lowest structure with this stoichiometry: 0.0 meV per atom
E: -1.605 eV/atom

Record 21
Density functional theory data (PBE) for a relaxed structure of BaY2Sn2.

Geometry as POSCAR:
```
BaY2Sn2
1.0
5.088 0.000 0.000
0.000 5.088 0.000
0.000 0.000 13.540
Ba Y Sn
2 4 4
direct
0.000 0.000 0.000
0.500 0.500 0.500
0.000 0.500 0.250
0.000 0.500 0.750
0.500 0.000 0.250
0.500 0.000 0.750
0.000 0.000 0.386
0.000 0.000 0.614
0.500 0.500 0.114
0.500 0.500 0.886
```

Properties
crystal system: tetragonal
formation enthalpy at 0 K: -0.583 eV/atom
energy above the lowest structure with this stoichiometry: 0.0 meV per atom
E: -5.154 eV/atom

Record 22
Density functional theory data (PBE) for a relaxed structure of Ho3HgAu4.

Geometry as POSCAR:
```
Ho3HgAu4
1.0
4.914 0.000 0.000
0.000 4.914 0.000
0.000 0.000 7.390
Ho Hg Au
3 1 4
direct
0.000 0.000 0.000
0.000 0.000 0.500
0.500 0.500 0.000
0.500 0.500 0.500
0.000 0.500 0.241
0.000 0.500 0.759
0.500 0.000 0.241
0.500 0.000 0.759
```

Properties
crystal system: tetragonal
formation enthalpy at 0 K: -0.717 eV/atom
E: -4.110 eV/atom